ScMo: relaxed, PBE.

Cell: 3.9583 3.9583 4.6838 Å, 90.00 90.00 90.00°
Fractional positions:
1 Sc 0.7500 0.7500 0.4998
2 Sc 0.2500 0.2500 0.5002
3 Mo 0.7500 0.2500 0.0000
4 Mo 0.2500 0.7500 0.0000

Values from the calculation:
The calculation puts the density of states at the Fermi level at 1.30 states/eV/atom. The uncorrected energy comes out at -33.36 eV for the cell shown. The formation energy comes out at 0.48 eV/f.u. The value obtained for the energy above the most stable polymorph in this dataset is 265.4 meV/atom.